1.
4
Lattice="3.3186 0.0000 0.0000 0.0000 3.3186 0.0000 0.0000 0.0000 7.9297" Properties=species:S:1:pos:R:3 comment="YSc2Rh SCAN single point on PBEsol structure" relative_energy_kcal_per_mol_atoms=1.64 formation_enthalpy_0k_mev_per_atom=-490 mass_density_g_cm3=5.4 pbc="T T T"
Y 0.0000 0.0000 0.0000
Sc 0.0000 0.0000 3.1774
Sc 1.6593 1.6593 5.4308
Rh 1.6593 1.6593 1.7808

=====

2.
4
Lattice="2.6770 -5.6228 0.0000 2.6770 5.6228 0.0000 -1.6596 0.0000 2.4914" Properties=species:S:1:pos:R:3 comment="KNi2Cl SCAN single point on PBEsol structure" relative_energy_kcal_per_mol_atoms=4.85 formation_energy_uncorrected_ev_per_atom=0.197 mass_density_g_cm3=4.2 pbc="T T T"
K 0.0000 0.0000 0.0000
Ni 1.3385 2.8114 0.0000
Ni 1.3385 -2.8114 0.0000
Cl 2.6770 0.0000 0.0000

=====

3.
6
Lattice="4.6912 -1.4504 0.0000 4.6912 1.4504 0.0000 -1.8389 0.0000 5.5735" Properties=species:S:1:pos:R:3 comment="CrTc SCAN single point on PBEsol structure" formation_enthalpy_0k_mev_per_atom=28 mass_density_g_cm3=9.9 pbc="T T T"
Cr 0.0000 0.0000 0.0000
Cr -0.7157 0.0000 2.7226
Cr 5.5426 0.0000 1.7901
Tc 2.8107 0.0000 1.0082
Tc 2.0199 0.0000 3.6087
Tc 4.7100 0.0000 4.6143

=====

Number 1: E -1.69135 Ry/atom. Number 2: E -0.87953 Ry/atom. Number 3: E -1.96202 Ry/atom.